[1]
Here is a geometry-optimized TiInNi5 structure from Alexandria. Energies are from PBE-GGA.

Lattice parameters (Å, degrees): 4.2455 4.2455 5.3971 90.00 90.00 90.00
Last column: nearest neighbours and their distance in Å.
Sites, in units of the cell vectors:
Ni: 0.5000 0.0000 0.7663  2 Ti 2.47, 3 Ni 2.52-2.56, 2 In 2.56
Ni: 0.5000 0.5000 0.5000  8 Ni 2.56, 2 Ti 2.70
Ni: 0.0000 0.5000 0.7663  2 Ti 2.47, 3 Ni 2.52-2.56, 2 In 2.56
Ni: 0.5000 0.0000 0.2337  2 Ti 2.47, 3 Ni 2.52-2.56, 2 In 2.56
Ni: 0.0000 0.5000 0.2337  2 Ti 2.47, 3 Ni 2.52-2.56, 2 In 2.56
In: 0.0000 0.0000 0.5000  8 Ni 2.56
Ti: 0.5000 0.5000 0.0000  10 Ni 2.47-2.70

Computed properties:
M_tot: 0.000 μB/atom
Formation energy: 0.038 eV per atom
Fermi-level density of states: 6.2 states/eV/f.u.
Calculated volume: 13.90 Å³/atom

***

[2]
Here is a geometry-optimized Ti2ZnInNi structure from Alexandria. Energies are from PBE-GGA.

Lattice parameters (Å, degrees): 4.6789 4.3735 4.6789 90.00 90.00 90.00
Last column: nearest neighbours and their distance in Å.
Sites, in units of the cell vectors:
Ni: 0.0000 0.5000 0.0000  2 Zn 2.19
Ti: 0.0000 0.0000 0.5000  2 Zn 2.34
Ti: 0.5000 0.0000 0.0000  2 Zn 2.34
Zn: 0.0000 0.0000 0.0000  2 Ni 2.19, 4 Ti 2.34
In: 0.5000 0.5000 0.5000  8 Ti 3.20, 4 Ni 3.31

Computed properties:
M_tot: 0.000 μB/atom
Formation energy: 0.515 eV per atom
Fermi-level density of states: 4.9 states/eV/f.u.
Calculated volume: 19.15 Å³/atom

***

[3]
Here is a geometry-optimized TiZnInNi structure from Alexandria. Energies are from PBE-GGA.

Lattice parameters (Å, degrees): 4.4432 4.4432 4.4432 60.00 60.00 60.00
Last column: nearest neighbours and their distance in Å.
Sites, in units of the cell vectors:
In: 0.7500 0.7500 0.7500  4 Zn 2.72, 4 Ni 2.72
Ni: 0.5000 0.5000 0.5000  4 In 2.72, 4 Ti 2.72
Zn: 0.0000 0.0000 0.0000  4 Ti 2.72, 4 In 2.72
Ti: 0.2500 0.2500 0.2500  4 Ni 2.72, 4 Zn 2.72

Computed properties:
M_tot: 0.000 μB/atom
Formation energy: -0.180 eV per atom
Fermi-level density of states: 2.3 states/eV/f.u.
Calculated volume: 15.51 Å³/atom

***

[4]
Here is a geometry-optimized TlIn2Ni structure from Alexandria. Energies are from PBE-GGA.

Lattice parameters (Å, degrees): 4.6083 4.6083 4.2958 90.00 90.00 102.93
Last column: nearest neighbours and their distance in Å.
Sites, in units of the cell vectors:
In: 0.5000 0.5000 0.0000  2 In 2.87, 4 Ni 3.15, 4 Tl 3.15
In: 0.0000 0.0000 0.0000  2 In 2.87, 4 Tl 3.15, 4 Ni 3.15
Ni: 0.5000 0.0000 0.5000  2 Tl 2.87, 8 In 3.15
Tl: 0.0000 0.5000 0.5000  2 Ni 2.87, 8 In 3.15

Computed properties:
M_tot: 0.000 μB/atom
Formation energy: 0.306 eV per atom
Fermi-level density of states: 1.6 states/eV/f.u.
Calculated volume: 22.23 Å³/atom
Polymorph energy (0 for the lowest one): 0.2787 eV/atom

***

[5]
Here is a geometry-optimized TlIn2Ni structure from Alexandria. Energies are from PBE-GGA.

Lattice parameters (Å, degrees): 5.0409 5.0409 5.0409 60.00 60.00 60.00
Last column: nearest neighbours and their distance in Å.
Sites, in units of the cell vectors:
Tl: 0.5000 0.5000 0.5000  8 In 3.09
Ni: 0.0000 0.0000 0.0000  8 In 3.09
In: 0.7500 0.7500 0.7500  4 Tl 3.09, 4 Ni 3.09
In: 0.2500 0.2500 0.2500  4 Tl 3.09, 4 Ni 3.09

Computed properties:
M_tot: 0.000 μB/atom
Formation energy: 0.340 eV per atom
Fermi-level density of states: 3.9 states/eV/f.u.
Calculated volume: 22.64 Å³/atom
Polymorph energy (0 for the lowest one): 0.3130 eV/atom

***

[6]
Here is a geometry-optimized TlInNi structure from Alexandria. Energies are from PBE-GGA.

Lattice parameters (Å, degrees): 6.4814 6.4821 3.2375 75.53 75.55 28.92
Last column: nearest neighbours and their distance in Å.
Sites, in units of the cell vectors:
Tl: 0.6919 0.6919 0.3081  4 Ni 2.96, 4 Tl 3.24, 1 In 3.27
In: 0.9617 0.9617 0.0383  4 Ni 2.68
Ni: 0.3464 0.3464 0.6536  4 In 2.68, 4 Tl 2.96

Computed properties:
M_tot: 0.000 μB/atom
Formation energy: 0.168 eV per atom
Fermi-level density of states: 2.2 states/eV/f.u.
Calculated volume: 21.19 Å³/atom
Polymorph energy (0 for the lowest one): 0.1213 eV/atom

***

[7]
Here is a geometry-optimized TlIn2Ni structure from Alexandria. Energies are from PBE-GGA.

Lattice parameters (Å, degrees): 3.2002 3.2002 8.7450 90.00 90.00 90.00
Last column: nearest neighbours and their distance in Å.
Sites, in units of the cell vectors:
Ni: 0.5000 0.5000 0.0000  8 In 2.77
In: 0.0000 0.0000 0.8182  4 Ni 2.77
In: 0.0000 0.0000 0.1818  4 Ni 2.77
Tl: 0.5000 0.5000 0.5000  4 Tl 3.20

Computed properties:
M_tot: 0.000 μB/atom
Formation energy: 0.027 eV per atom
Fermi-level density of states: 2.0 states/eV/f.u.
Calculated volume: 22.39 Å³/atom
Polymorph energy (0 for the lowest one): 0.0000 eV/atom

***

[8]
Here is a geometry-optimized TlInNi structure from Alexandria. Energies are from PBE-GGA.

Lattice parameters (Å, degrees): 3.3395 3.3395 6.5526 90.00 90.00 120.00
Last column: nearest neighbours and their distance in Å.
Sites, in units of the cell vectors:
Ni: 0.6667 0.3333 0.3247  3 In 2.64, 3 Tl 2.76
In: 0.0000 0.0000 0.0486  3 Ni 2.64
Tl: 0.3333 0.6667 0.6267  3 Ni 2.76

Computed properties:
M_tot: 0.000 μB/atom
Formation energy: 0.200 eV per atom
Fermi-level density of states: 1.1 states/eV/f.u.
Calculated volume: 21.09 Å³/atom
Polymorph energy (0 for the lowest one): 0.1535 eV/atom

***

[9]
Here is a geometry-optimized TlIn2Ni structure from Alexandria. Energies are from PBE-GGA.

Lattice parameters (Å, degrees): 7.0543 7.0543 7.0543 154.59 142.57 45.79
Last column: nearest neighbours and their distance in Å.
Sites, in units of the cell vectors:
Tl: 0.2500 0.7500 0.5000  4 Ni 2.74
In: 0.9322 0.9322 0.0000  2 Ni 2.83, 2 In 3.10
In: 0.5678 0.5678 0.0000  2 Ni 2.83, 2 In 3.10
Ni: 0.7500 0.2500 0.5000  4 Tl 2.74, 4 In 2.83

Computed properties:
M_tot: 0.000 μB/atom
Formation energy: 0.104 eV per atom
Fermi-level density of states: 2.2 states/eV/f.u.
Calculated volume: 22.82 Å³/atom
Polymorph energy (0 for the lowest one): 0.0766 eV/atom

***

[10]
Here is a geometry-optimized TlInNi structure from Alexandria. Energies are from PBE-GGA.

Lattice parameters (Å, degrees): 3.8660 3.8660 5.3177 90.00 90.00 120.00
Last column: nearest neighbours and their distance in Å.
Sites, in units of the cell vectors:
Tl: 0.3333 0.6667 0.6113  3 Ni 2.71
Ni: 0.6667 0.3333 0.3213  3 In 2.61, 3 Tl 2.71
In: 0.0000 0.0000 0.0674  3 Ni 2.61

Computed properties:
M_tot: 0.000 μB/atom
Formation energy: 0.239 eV per atom
Fermi-level density of states: 1.7 states/eV/f.u.
Calculated volume: 22.94 Å³/atom
Polymorph energy (0 for the lowest one): 0.1924 eV/atom

***

[11]
Here is a geometry-optimized TlIn2Ni structure from Alexandria. Energies are from PBE-GGA.

Lattice parameters (Å, degrees): 9.0723 9.0723 9.0723 21.93 21.93 21.93
Last column: nearest neighbours and their distance in Å.
Sites, in units of the cell vectors:
Ni: 0.4976 0.4976 0.4976  3 In 2.63, 3 Tl 2.72
In: 0.0021 0.0021 0.0021  9 In 3.27-3.45, 3 Tl 3.35
In: 0.7662 0.7662 0.7662  3 Ni 2.63
Tl: 0.2341 0.2341 0.2341  3 Ni 2.72

Computed properties:
M_tot: 0.000 μB/atom
Formation energy: 0.138 eV per atom
Fermi-level density of states: 1.8 states/eV/f.u.
Calculated volume: 22.83 Å³/atom
Polymorph energy (0 for the lowest one): 0.1105 eV/atom

***

[12]
Here is a geometry-optimized Tl4InNi structure from Alexandria. Energies are from PBE-GGA.

Lattice parameters (Å, degrees): 6.2977 6.2977 6.2977 60.00 60.00 60.00
Last column: nearest neighbours and their distance in Å.
Sites, in units of the cell vectors:
Tl: 0.8772 0.3743 0.3743  6 Tl 3.13-3.17
Tl: 0.3743 0.3743 0.8772  6 Tl 3.13-3.17
Tl: 0.3743 0.3743 0.3743  6 Tl 3.13-3.17
Tl: 0.3743 0.8772 0.3743  6 Tl 3.13-3.17
Ni: 0.0000 0.0000 0.0000  12 Tl 3.69, 4 In 3.86
In: 0.7500 0.7500 0.7500  12 Tl 3.69, 4 Ni 3.86

Computed properties:
M_tot: 0.000 μB/atom
Formation energy: 0.561 eV per atom
Fermi-level density of states: 4.2 states/eV/f.u.
Calculated volume: 29.44 Å³/atom